[1]
The following is a GGA-PBE calculation of LiLaGaIr2 after structural relaxation, from Alexandria.

Calculated values
DOS at the Fermi energy in states/eV per atom: 0.663
Total DFT energy (no corrections) in hartree per atom: -0.18870
Formation enthalpy at 0 K in eV/atom: 0.38
Crystal system: tetragonal

Cell and atoms, written as CIF:
```
data_LiLaGaIr2
_cell_length_a 4.455
_cell_length_b 4.455
_cell_length_c 4.608
_cell_angle_alpha 90.00
_cell_angle_beta 90.00
_cell_angle_gamma 90.00
_space_group_name_H-M_alt 'P 4/m m m'
_space_group_IT_number 123
_space_group_name_Hall '-P 4 2'
loop_
_atom_site_label
_atom_site_fract_x
_atom_site_fract_y
_atom_site_fract_z
_atom_site_occupancy
Li1 0.000 0.000 0.000 1
La1 0.000 0.000 0.500 1
Ga1 0.500 0.500 0.500 1
Ir1 0.000 0.500 0.000 1
```

=====

[2]
The following is a GGA-PBE calculation of Lu2GeOs after structural relaxation, from Alexandria.

Calculated values
DOS at the Fermi energy in states/eV per atom: 0.793
Energy relative to the lowest polymorph listed for this composition in meV/atom: 682
Total DFT energy (no corrections) in hartree per atom: -0.22254
Formation enthalpy at 0 K in eV/atom: 0.17
Crystal system: trigonal

Cell and atoms, written as CIF:
```
data_Lu2GeOs
_cell_length_a 3.2885
_cell_length_b 3.2885
_cell_length_c 29.6666
_cell_angle_alpha 90.00
_cell_angle_beta 90.00
_cell_angle_gamma 120.00
_space_group_name_H-M_alt 'R -3 m'
_space_group_IT_number 166
_space_group_name_Hall '-R 3 2"'
loop_
_atom_site_label
_atom_site_fract_x
_atom_site_fract_y
_atom_site_fract_z
_atom_site_occupancy
Lu1 0.0000 0.0000 0.0977 1
Ge1 0.0000 0.0000 0.0000 1
Os1 0.0000 0.0000 0.5000 1
```